Density functional theory data (PBE) for an optimized crystal structure of NaHoInHg.

Computed properties:
The value obtained for the energy above the most stable polymorph in this dataset is 0 meV per atom. The calculation puts the total energy at -2.5273 eV per atom. As for the space group: F-43m (216). Its volume is 100.5 Å³/f.u. As for the energy of formation from the pure elements: -0.293 eV per atom.

Cell: 5.2179 5.2179 5.2179 Å, 60.00 60.00 60.00°
Positions (direct):
1 Na 0.0000 0.0000 0.0000
2 In 0.2500 0.2500 0.2500
3 Hg 0.7500 0.7500 0.7500
4 Ho 0.5000 0.5000 0.5000